(1)
! Zn2PW (GGA-PBEsol, relaxed); values from VASP
! Raw total energy: -5.536 eV per atom
! Space group: I4/mmm (139)
! DFT formation energy: 154 meV per atom
! Total magnetization: 0.00 μB per cell
&SYSTEM
  ibrav = 0, nat = 4, ntyp = 3
/
ATOMIC_SPECIES
Zn 65.41 Zn.upf
P 30.97 P.upf
W 183.84 W.upf
ATOMIC_POSITIONS crystal
Zn 0.250 0.750 0.500
Zn 0.750 0.250 0.500
P 0.000 0.000 0.000
W 0.500 0.500 0.000
CELL_PARAMETERS angstrom
-1.756 1.756 4.453
1.756 -1.756 4.453
1.756 1.756 -4.453

***

(2)
! CaTlB3 (GGA-PBEsol, relaxed); values from VASP
! Raw total energy: -3.259 eV per atom
! Space group: Pm-3m (221)
! DFT formation energy: 1904 meV per atom
! Total magnetization: 0.00 μB per cell
&SYSTEM
  ibrav = 0, nat = 5, ntyp = 3
/
ATOMIC_SPECIES
Ca 40.08 Ca.upf
Tl 204.38 Tl.upf
B 10.81 B.upf
ATOMIC_POSITIONS crystal
Ca 0.000 0.000 0.000
Tl 0.500 0.500 0.500
B 0.000 0.500 0.500
B 0.500 0.000 0.500
B 0.500 0.500 0.000
CELL_PARAMETERS angstrom
4.555 0.000 0.000
0.000 4.555 0.000
0.000 0.000 4.555

***

(3)
! SnBiO4 (GGA-PBEsol, relaxed); values from VASP
! Raw total energy: -6.167 eV per atom
! Space group: I-4m2 (119)
! Total magnetization: 0.00 μB per cell
! Energy relative to the elements, uncorrected: -1.243 eV per atom
&SYSTEM
  ibrav = 0, nat = 6, ntyp = 3
/
ATOMIC_SPECIES
Sn 118.71 Sn.upf
Bi 208.98 Bi.upf
O 16.00 O.upf
ATOMIC_POSITIONS crystal
Sn 0.000 0.000 0.000
Bi 0.750 0.250 0.500
O 0.192 0.192 0.000
O 0.540 0.040 0.500
O 0.808 0.808 0.000
O 0.960 0.460 0.500
CELL_PARAMETERS angstrom
-2.075 2.075 5.433
2.075 -2.075 5.433
2.075 2.075 -5.433

***

Number 1: DOS at the Fermi energy 1.7 states/eV/f.u.. Number 2: DOS at the Fermi energy 3.0 states/eV/f.u.. Number 3: DOS at the Fermi energy 1.8 states/eV/f.u..